Below is crystalline LuSiGe2 at its relaxed geometry, with properties calculated at the PBE level.

```
LuSiGe2
1.0
-0.028 4.118 0.956
-2.301 -0.812 3.432
3.527 -0.498 2.246
Ge Lu Si
2 1 1
direct
0.000 0.000 0.500 Ge
0.000 0.500 0.000 Ge
0.500 0.000 0.000 Lu
0.500 0.500 0.500 Si
```

Values from the calculation:
For the uncorrected formation energy, the calculation gives -0.261 eV per atom. The value obtained for the density of states at the Fermi level is 2.11 states/eV/cell. For the raw total energy, the calculation gives -0.3716 Ry per atom.